Record 1
First-principles (PBE) data for a relaxed SrTeWI2 crystal, as listed in the Alexandria database.

a b c (Å): 5.550 5.550 5.657
angles (deg): 90.00 90.00 90.00
Site moments in Bohr magnetons follow the coordinates.
Atoms (fractional coordinates):
I (0.000, 0.500, 0.000)  0.03
I (0.500, 0.000, 0.000)  0.03
Te (0.000, 0.000, 0.500)  0.03
W (0.000, 0.000, 0.000)  2.15
Sr (0.500, 0.500, 0.500)  0.03

## Properties
Polymorph energy (0 for the lowest one): 0.0 meV/atom

---

Record 2
First-principles (PBE) data for a relaxed SrYTeI2 crystal, as listed in the Alexandria database.

a b c (Å): 5.928 5.928 5.971
angles (deg): 90.00 90.00 90.00
Atoms (fractional coordinates):
I (0.000, 0.500, 0.000)
I (0.500, 0.000, 0.000)
Te (0.000, 0.000, 0.500)
Y (0.000, 0.000, 0.000)
Sr (0.500, 0.500, 0.500)

## Properties
Polymorph energy (0 for the lowest one): 0.0 meV/atom

---

Record 3
First-principles (PBE) data for a relaxed SrYTeI2 crystal, as listed in the Alexandria database.

a b c (Å): 6.038 6.038 6.397
angles (deg): 90.00 90.00 90.00
Site moments in Bohr magnetons follow the coordinates.
Atoms (fractional coordinates):
Te (0.000, 0.000, 0.500)  -0.02
Y (0.500, 0.500, 0.500)  0.53
I (0.500, 0.000, 0.000)  0.00
I (0.000, 0.500, 0.000)  0.00
Sr (0.000, 0.000, 0.000)  0.00

## Properties
Polymorph energy (0 for the lowest one): 530.6 meV/atom

---

Record 4
First-principles (PBE) data for a relaxed SrYTe2I crystal, as listed in the Alexandria database.

a b c (Å): 5.941 5.941 5.835
angles (deg): 90.00 90.00 90.00
Atoms (fractional coordinates):
Te (0.000, 0.500, 0.000)
Te (0.500, 0.000, 0.000)
Y (0.000, 0.000, 0.000)
Sr (0.500, 0.500, 0.500)
I (0.000, 0.000, 0.500)

## Properties
Polymorph energy (0 for the lowest one): 0.0 meV/atom

---

Record 5
First-principles (PBE) data for a relaxed SrYTeI2 crystal, as listed in the Alexandria database.

a b c (Å): 5.647 8.500 5.647
angles (deg): 90.00 90.00 90.00
Site moments in Bohr magnetons follow the coordinates.
Atoms (fractional coordinates):
I (0.000, 0.000, 0.500)  -0.01
I (0.500, 0.000, 0.000)  -0.01
Te (0.500, 0.500, 0.500)  0.05
Y (0.000, 0.000, 0.000)  0.34
Sr (0.000, 0.500, 0.000)  0.04

## Properties
Polymorph energy (0 for the lowest one): 465.5 meV/atom

---

Record 6
First-principles (PBE) data for a relaxed SrYTe2I crystal, as listed in the Alexandria database.

a b c (Å): 6.113 6.113 5.850
angles (deg): 90.00 90.00 90.00
Atoms (fractional coordinates):
Te (0.500, 0.000, 0.000)
Te (0.000, 0.500, 0.000)
Sr (0.000, 0.000, 0.000)
I (0.000, 0.000, 0.500)
Y (0.500, 0.500, 0.500)

## Properties
Polymorph energy (0 for the lowest one): 809.0 meV/atom

---

Record 7
First-principles (PBE) data for a relaxed SrZnTeI2 crystal, as listed in the Alexandria database.

a b c (Å): 6.387 6.387 6.726
angles (deg): 90.00 90.00 90.00
Site moments in Bohr magnetons follow the coordinates.
Atoms (fractional coordinates):
Sr (0.000, 0.000, 0.000)  -0.01
Te (0.000, 0.000, 0.500)  0.77
I (0.500, 0.000, 0.000)  0.09
I (0.000, 0.500, 0.000)  0.09
Zn (0.500, 0.500, 0.500)  0.12

## Properties
Polymorph energy (0 for the lowest one): 373.6 meV/atom

---

Record 8
First-principles (PBE) data for a relaxed SrZnTeI2 crystal, as listed in the Alexandria database.

a b c (Å): 5.598 5.598 5.593
angles (deg): 90.00 90.00 90.00
Atoms (fractional coordinates):
I (0.000, 0.500, 0.000)
I (0.500, 0.000, 0.000)
Sr (0.500, 0.500, 0.500)
Zn (0.000, 0.000, 0.000)
Te (0.000, 0.000, 0.500)

## Properties
Polymorph energy (0 for the lowest one): 0.0 meV/atom

---

Record 9
First-principles (PBE) data for a relaxed SrZrTe2I crystal, as listed in the Alexandria database.

a b c (Å): 6.090 6.090 5.957
angles (deg): 90.00 90.00 90.00
Site moments in Bohr magnetons follow the coordinates.
Atoms (fractional coordinates):
Zr (0.500, 0.500, 0.500)  1.44
Sr (0.000, 0.000, 0.000)  0.00
Te (0.500, 0.000, 0.000)  -0.20
Te (0.000, 0.500, 0.000)  -0.20
I (0.000, 0.000, 0.500)  -0.05

## Properties
Polymorph energy (0 for the lowest one): 1133.0 meV/atom

---

Record 10
First-principles (PBE) data for a relaxed SrZrTe2I crystal, as listed in the Alexandria database.

a b c (Å): 5.703 5.703 5.653
angles (deg): 90.00 90.00 90.00
Atoms (fractional coordinates):
Sr (0.500, 0.500, 0.500)
Te (0.500, 0.000, 0.000)
Te (0.000, 0.500, 0.000)
Zr (0.000, 0.000, 0.000)
I (0.000, 0.000, 0.500)

## Properties
Polymorph energy (0 for the lowest one): 0.0 meV/atom

---

Record 11
First-principles (PBE) data for a relaxed SrThI2 crystal, as listed in the Alexandria database.

a b c (Å): 4.000 4.000 11.341
angles (deg): 79.84 79.84 60.00
Atoms (fractional coordinates):
Th (0.000, 0.000, 0.000)
Sr (0.500, 0.500, 0.500)
I (0.096, 0.096, 0.711)
I (0.904, 0.904, 0.289)

## Properties
Calculated total energy: -14.57 eV per cell

---

Record 12
First-principles (PBE) data for a relaxed SrThI6 crystal, as listed in the Alexandria database.

a b c (Å): 7.955 7.950 8.586
angles (deg): 62.32 62.32 59.93
Atoms (fractional coordinates):
Sr (0.500, 0.500, 0.500)
Th (0.000, 0.000, 0.000)
I (0.074, 0.403, 0.756)
I (0.597, 0.234, 0.243)
I (0.234, 0.926, 0.242)
I (0.926, 0.597, 0.244)
I (0.403, 0.766, 0.757)
I (0.766, 0.074, 0.758)

## Properties
Polymorph energy (0 for the lowest one): 12.7 meV/atom

---

Record 13
First-principles (PBE) data for a relaxed SrThI6 crystal, as listed in the Alexandria database.

a b c (Å): 8.265 8.265 7.892
angles (deg): 98.26 98.26 122.67
Atoms (fractional coordinates):
I (0.258, 0.258, 0.737)
I (0.117, 0.418, 0.263)
I (0.742, 0.742, 0.263)
I (0.883, 0.582, 0.737)
I (0.418, 0.117, 0.263)
I (0.582, 0.883, 0.737)
Th (0.500, 0.500, 0.500)
Sr (0.000, 0.000, 0.000)

## Properties
Polymorph energy (0 for the lowest one): 0.0 meV/atom

---

Record 14
First-principles (PBE) data for a relaxed Sr2TiI crystal, as listed in the Alexandria database.

a b c (Å): 9.204 9.204 7.608
angles (deg): 52.78 52.78 90.00
Site moments in Bohr magnetons follow the coordinates.
Atoms (fractional coordinates):
Sr (0.639, 0.125, 0.250)  0.08
Sr (0.875, 0.889, 0.750)  0.08
Sr (0.111, 0.625, 0.250)  0.08
Sr (0.375, 0.361, 0.750)  0.08
I (0.750, 0.250, 0.500)  0.02
I (0.000, 0.000, 0.000)  0.02
Ti (0.500, 0.500, 0.000)  2.04
Ti (0.250, 0.750, 0.500)  2.04

## Properties
Polymorph energy (0 for the lowest one): 35.3 meV/atom

---

Record 15
First-principles (PBE) data for a relaxed SrTiI2 crystal, as listed in the Alexandria database.

a b c (Å): 5.877 5.877 9.960
angles (deg): 72.84 72.84 90.00
Site moments in Bohr magnetons follow the coordinates.
Atoms (fractional coordinates):
I (0.875, 0.827, 0.750)  0.01
I (0.173, 0.625, 0.250)  0.01
I (0.375, 0.423, 0.750)  0.00
I (0.577, 0.125, 0.250)  0.01
Ti (0.250, 0.750, 0.500)  2.11
Ti (0.500, 0.500, 0.000)  2.11
Sr (0.750, 0.250, 0.500)  0.12
Sr (0.000, 0.000, 0.000)  0.12

## Properties
Polymorph energy (0 for the lowest one): 0.0 meV/atom

---

Record 16
First-principles (PBE) data for a relaxed Sr2TiI crystal, as listed in the Alexandria database.

a b c (Å): 5.941 5.941 5.941
angles (deg): 60.00 60.00 60.00
Site moments in Bohr magnetons follow the coordinates.
Atoms (fractional coordinates):
Sr (0.750, 0.750, 0.750)  0.18
Sr (0.250, 0.250, 0.250)  0.18
Ti (0.000, 0.000, 0.000)  2.13
I (0.500, 0.500, 0.500)  0.03

## Properties
Polymorph energy (0 for the lowest one): 0.0 meV/atom

---

Record 17
First-principles (PBE) data for a relaxed SrTiI2 crystal, as listed in the Alexandria database.

a b c (Å): 5.395 5.395 5.395
angles (deg): 60.00 60.00 60.00
Atoms (fractional coordinates):
Sr (0.500, 0.500, 0.500)
I (0.750, 0.750, 0.750)
I (0.250, 0.250, 0.250)
Ti (0.000, 0.000, 0.000)

## Properties
Polymorph energy (0 for the lowest one): 53.7 meV/atom

---

Record 18
First-principles (PBE) data for a relaxed Sr3TiI crystal, as listed in the Alexandria database.

a b c (Å): 6.340 6.340 6.340
angles (deg): 90.00 90.00 90.00
Site moments in Bohr magnetons follow the coordinates.
Atoms (fractional coordinates):
Sr (0.000, 0.000, 0.500)  0.15
Sr (0.500, 0.000, 0.000)  0.12
Sr (0.000, 0.500, 0.000)  0.15
I (0.500, 0.500, 0.500)  0.03
Ti (0.000, 0.000, 0.000)  2.19

## Properties
Calculated total energy: -12.87 eV per cell

---

Record 19
First-principles (PBE) data for a relaxed SrTlI2 crystal, as listed in the Alexandria database.

a b c (Å): 5.942 5.942 5.942
angles (deg): 60.00 60.00 60.00
Atoms (fractional coordinates):
Sr (0.000, 0.000, 0.000)
Tl (0.500, 0.500, 0.500)
I (0.250, 0.250, 0.250)
I (0.750, 0.750, 0.750)

## Properties
Polymorph energy (0 for the lowest one): 0.0 meV/atom

---

Record 20
First-principles (PBE) data for a relaxed SrTlI3 crystal, as listed in the Alexandria database.

a b c (Å): 4.853 11.765 9.096
angles (deg): 101.04 90.00 90.00
Atoms (fractional coordinates):
I (0.250, 0.681, 0.018)
I (0.750, 0.665, 0.437)
I (0.250, 0.335, 0.563)
I (0.750, 0.014, 0.293)
I (0.750, 0.319, 0.982)
I (0.250, 0.986, 0.707)
Sr (0.250, 0.838, 0.357)
Sr (0.750, 0.162, 0.643)
Tl (0.250, 0.454, 0.214)
Tl (0.750, 0.546, 0.786)

## Properties
Polymorph energy (0 for the lowest one): 0.0 meV/atom

---

Record 21
First-principles (PBE) data for a relaxed Sr2TlI crystal, as listed in the Alexandria database.

a b c (Å): 4.509 4.509 9.468
angles (deg): 76.22 76.22 60.00
Atoms (fractional coordinates):
Sr (0.256, 0.256, 0.233)
Sr (0.744, 0.744, 0.767)
I (0.500, 0.500, 0.500)
Tl (0.000, 0.000, 0.000)

## Properties
Polymorph energy (0 for the lowest one): 0.0 meV/atom

---

Record 22
First-principles (PBE) data for a relaxed SrTlI3 crystal, as listed in the Alexandria database.

a b c (Å): 6.277 6.277 6.277
angles (deg): 90.00 90.00 90.00
Atoms (fractional coordinates):
I (0.000, 0.000, 0.500)
I (0.500, 0.000, 0.000)
I (0.000, 0.500, 0.000)
Sr (0.500, 0.500, 0.500)
Tl (0.000, 0.000, 0.000)

## Properties
Polymorph energy (0 for the lowest one): 591.4 meV/atom

---

Record 23
First-principles (PBE) data for a relaxed SrTlI2 crystal, as listed in the Alexandria database.

a b c (Å): 4.891 4.891 10.874
angles (deg): 77.00 77.00 60.00
Atoms (fractional coordinates):
I (0.900, 0.900, 0.301)
I (0.100, 0.100, 0.699)
Sr (0.000, 0.000, 0.000)
Tl (0.500, 0.500, 0.500)

## Properties
Polymorph energy (0 for the lowest one): 149.5 meV/atom

---

Record 24
First-principles (PBE) data for a relaxed Sr2TlI crystal, as listed in the Alexandria database.

a b c (Å): 8.906 8.906 7.653
angles (deg): 54.42 54.42 90.00
Atoms (fractional coordinates):
Sr (0.627, 0.125, 0.250)
Sr (0.123, 0.625, 0.250)
Sr (0.375, 0.373, 0.750)
Sr (0.875, 0.877, 0.750)
Tl (0.750, 0.250, 0.500)
Tl (0.000, 0.000, 0.000)
I (0.500, 0.500, 0.000)
I (0.250, 0.750, 0.500)

## Properties
Polymorph energy (0 for the lowest one): 241.6 meV/atom

---

Record 25
First-principles (PBE) data for a relaxed SrTl2I2 crystal, as listed in the Alexandria database.

a b c (Å): 4.297 4.297 12.662
angles (deg): 80.23 80.23 90.00
Atoms (fractional coordinates):
Tl (0.750, 0.250, 0.500)
Tl (0.250, 0.750, 0.500)
I (0.423, 0.423, 0.153)
I (0.577, 0.577, 0.847)
Sr (0.000, 0.000, 0.000)

## Properties
Polymorph energy (0 for the lowest one): 0.0 meV/atom

---

Record 26
First-principles (PBE) data for a relaxed Sr2Tl2I crystal, as listed in the Alexandria database.

a b c (Å): 9.525 9.525 4.127
angles (deg): 90.00 90.00 90.00
Atoms (fractional coordinates):
Sr (0.686, 0.814, 0.500)
Sr (0.186, 0.686, 0.500)
Sr (0.814, 0.314, 0.500)
Sr (0.314, 0.186, 0.500)
Tl (0.113, 0.387, 0.000)
Tl (0.887, 0.613, 0.000)
Tl (0.613, 0.113, 0.000)
Tl (0.387, 0.887, 0.000)
I (0.000, 0.000, 0.000)
I (0.500, 0.500, 0.000)

## Properties
Polymorph energy (0 for the lowest one): 56.6 meV/atom